Li2Mn3NiO8: optimized geometry, PBE with a Hubbard U.

Lattice parameters (Å, degrees): 8.1903 8.3164 8.3922 90.00 90.00 90.00
Space group P2_12_12_1 (No. 19)
Asymmetric unit:
Li  0.0033  0.0035  0.4992 [4 per cell]
Li  0.1243  0.8721  0.1220 [4 per cell]
Mn  0.1274  0.1268  0.8702 [4 per cell]
Mn  0.1267  0.6269  0.3787 [4 per cell]
Mn  0.1282  0.3760  0.6322 [4 per cell]
Ni  0.2395  0.2475  0.2530 [4 per cell]
O  0.1062  0.1224  0.1025 [4 per cell]
O  0.1106  0.8970  0.8679 [4 per cell]
O  0.1157  0.6164  0.6172 [4 per cell]
O  0.1237  0.1506  0.6438 [4 per cell]
O  0.1324  0.3931  0.4056 [4 per cell]
O  0.1357  0.3624  0.8651 [4 per cell]
O  0.1393  0.6190  0.1547 [4 per cell]
O  0.1440  0.8561  0.3755 [4 per cell]

Results
Distance to the lowest polymorph of the same formula = 0.0496 eV per atom
Size of the total moment = 0.785 μB per atom